Material: Re3C4
Method: DFT, meta-GGA SCAN
State: single point on PBEsol structure

**DOS(E_F)**: 2.391 states/eV per cell
**SG**: No. 215
**ΔH_f (0 K)**: 7.6 eV per formula unit
**Total magnetization**: 0.89 μB per cell

a b c (Å): 4.6333 4.6333 4.6333
angles (deg): 90.00 90.00 90.00
With the nearest neighbours (Å) after each atom.
Positions (direct):
C: 0.7261 0.7261 0.7261  3 Re 1.95
C: 0.2739 0.7261 0.2739  3 Re 1.95
C: 0.7261 0.2739 0.2739  3 Re 1.95
C: 0.2739 0.2739 0.7261  3 Re 1.95
Re: 0.5000 0.0000 0.5000  4 C 1.95
Re: 0.5000 0.5000 0.0000  4 C 1.95
Re: 0.0000 0.5000 0.5000  4 C 1.95


Material: Re2C
Method: DFT, meta-GGA SCAN
State: single point on PBEsol structure

**DOS(E_F)**: 1.361 states/eV per cell
**SG**: No. 71
**ΔH_f (0 K)**: 3.8 eV per formula unit
**Energy relative to the lowest polymorph listed for this composition**: 1.281 eV/atom
**Total magnetization**: 0.00 μB per cell

a b c (Å): 2.8359 4.1206 4.1206
angles (deg): 59.93 69.87 69.87
With the nearest neighbours (Å) after each atom.
Positions (direct):
Re: 0.6866 0.3134 0.3134  1 C 2.05
Re: 0.3134 0.6866 0.6866  1 C 2.05
C: 0.0000 0.0000 0.0000  2 Re 2.05


Material: ReC3
Method: DFT, meta-GGA SCAN
State: single point on PBEsol structure

**DOS(E_F)**: 2.118 states/eV per cell
**SG**: No. 221
**ΔH_f (0 K)**: 12.2 eV per formula unit
**Energy relative to the lowest polymorph listed for this composition**: 2.152 eV/atom
**Total magnetization**: 0.00 μB per cell

a b c (Å): 3.2109 3.2109 3.2109
angles (deg): 90.00 90.00 90.00
With the nearest neighbours (Å) after each atom.
Positions (direct):
C: 0.5000 0.0000 0.5000  4 Re 2.27, 8 C 2.27
C: 0.5000 0.5000 0.0000  4 Re 2.27, 8 C 2.27
C: 0.0000 0.5000 0.5000  4 Re 2.27, 8 C 2.27
Re: 0.0000 0.0000 0.0000  12 C 2.27


Material: ReC3
Method: DFT, meta-GGA SCAN
State: single point on PBEsol structure

**DOS(E_F)**: 2.311 states/eV per cell
**SG**: No. 139
**ΔH_f (0 K)**: 8.6 eV per formula unit
**Energy relative to the lowest polymorph listed for this composition**: 1.268 eV/atom
**Total magnetization**: 0.00 μB per cell

a b c (Å): 2.6783 2.6783 10.9308
angles (deg): 97.04 97.04 90.00
With the nearest neighbours (Å) after each atom.
Positions (direct):
C: 0.0000 0.5000 0.0000  4 C 1.89
C: 0.1292 0.1292 0.2585  4 Re 2.09
C: 0.8708 0.8708 0.7415  4 Re 2.09
C: 0.7500 0.2500 0.5000  4 C 1.89
C: 0.5000 0.0000 0.0000  4 C 1.89
C: 0.2500 0.7500 0.5000  4 C 1.89
Re: 0.3295 0.3295 0.6591  8 C 2.09-2.17
Re: 0.6705 0.6705 0.3409  8 C 2.09-2.17


Material: ReC5
Method: DFT, meta-GGA SCAN
State: single point on PBEsol structure

**DOS(E_F)**: 2.341 states/eV per cell
**SG**: No. 216
**ΔH_f (0 K)**: 19.0 eV per formula unit
**Energy relative to the lowest polymorph listed for this composition**: 0.345 eV/atom
**Total magnetization**: 0.00 μB per cell

a b c (Å): 4.0362 4.0362 4.0362
angles (deg): 60.00 60.00 60.00
With the nearest neighbours (Å) after each atom.
Positions (direct):
C: 0.2118 0.5961 0.5961  3 C 1.55
C: 0.5961 0.5961 0.2118  3 C 1.55
C: 0.5961 0.2118 0.5961  3 C 1.55
C: 0.5961 0.5961 0.5961  3 C 1.55
C: 0.2500 0.2500 0.2500  12 C 2.33, 4 Re 2.47
Re: 0.0000 0.0000 0.0000  16 C 2.43-2.47


Material: ReC5
Method: DFT, meta-GGA SCAN
State: single point on PBEsol structure

**DOS(E_F)**: 2.611 states/eV per cell
**SG**: No. 189
**ΔH_f (0 K)**: 16.9 eV per formula unit
**Energy relative to the lowest polymorph listed for this composition**: 0.000 eV/atom
**Total magnetization**: 0.00 μB per cell

a b c (Å): 3.7844 3.7844 4.2416
angles (deg): 90.00 90.00 120.00
With the nearest neighbours (Å) after each atom.
Positions (direct):
Re: 0.0000 0.0000 0.5000  12 C 2.18-2.29
C: 0.7740 0.0000 0.0000  2 C 1.48
C: 0.6667 0.3333 0.5000  3 C 2.18, 3 Re 2.18
C: 0.2260 0.2260 0.0000  2 C 1.48
C: 0.3333 0.6667 0.5000  3 C 2.18, 3 Re 2.18
C: 0.0000 0.7740 0.0000  2 C 1.48